[1]
A relaxed structure of TlOs3, computed with GGA-PBE.

abc: 5.6958 5.6958 9.1801
angles: 90.00 90.00 120.00
Closest atoms and distances in Å follow each position.
Element x y z (fractional)
Tl 0.0000 0.0000 0.0000  12 Os 2.83-2.85
Tl 0.0000 0.0000 0.5000  12 Os 2.83-2.85
Tl 0.3333 0.6667 0.2500  12 Os 2.82-2.85
Tl 0.6667 0.3333 0.7500  12 Os 2.82-2.85
Os 0.0000 0.5000 0.0000  8 Os 2.82-2.85, 4 Tl 2.82-2.85
Os 0.0000 0.5000 0.5000  8 Os 2.82-2.85, 4 Tl 2.82-2.85
Os 0.1677 0.3353 0.7500  8 Os 2.82-2.87, 4 Tl 2.83-2.85
Os 0.1677 0.8323 0.7500  8 Os 2.82-2.87, 4 Tl 2.83-2.85
Os 0.3353 0.1677 0.2500  8 Os 2.82-2.87, 4 Tl 2.83-2.85
Os 0.5000 0.0000 0.0000  8 Os 2.82-2.85, 4 Tl 2.82-2.85
Os 0.5000 0.0000 0.5000  8 Os 2.82-2.85, 4 Tl 2.82-2.85
Os 0.5000 0.5000 0.0000  8 Os 2.82-2.85, 4 Tl 2.82-2.85
Os 0.5000 0.5000 0.5000  8 Os 2.82-2.85, 4 Tl 2.82-2.85
Os 0.6647 0.8323 0.7500  8 Os 2.82-2.87, 4 Tl 2.83-2.85
Os 0.8323 0.1677 0.2500  8 Os 2.82-2.87, 4 Tl 2.83-2.85
Os 0.8323 0.6647 0.2500  8 Os 2.82-2.87, 4 Tl 2.83-2.85

Properties
DFT formation energy   1.112 eV/atom
Offset from the most stable computed form   439.1 meV per atom
Space group   P6_3/mmc, No. 194
Mass density   19960 kg/m³

---

[2]
A relaxed structure of PrLu2Co, computed with GGA-PBE.

abc: 9.3910 9.3910 9.3910
angles: 22.73 22.73 22.73
Closest atoms and distances in Å follow each position.
Element x y z (fractional)
Pr 0.0000 0.0000 0.0000  6 Pr 3.70, 6 Lu 3.75
Lu 0.2209 0.2209 0.2209  3 Co 2.60
Lu 0.7791 0.7791 0.7791  3 Co 2.60
Co 0.5000 0.5000 0.5000  6 Lu 2.60

Properties
DFT formation energy   -0.035 eV/atom
Offset from the most stable computed form   94.1 meV per atom
Space group   R-3m, No. 166
Mass density   8416 kg/m³

---

[3]
A relaxed structure of CaNdZn4, computed with GGA-PBE.

abc: 5.5670 5.5670 5.5670
angles: 60.00 60.00 60.00
Closest atoms and distances in Å follow each position.
Element x y z (fractional)
Ca 0.0000 0.0000 0.0000  12 Zn 3.27, 4 Nd 3.41
Nd 0.7500 0.7500 0.7500  12 Zn 3.26, 4 Ca 3.41
Zn 0.3762 0.3762 0.3762  6 Zn 2.76-2.81
Zn 0.3762 0.3762 0.8715  6 Zn 2.76-2.81
Zn 0.3762 0.8715 0.3762  6 Zn 2.76-2.81
Zn 0.8715 0.3762 0.3762  6 Zn 2.76-2.81

Properties
DFT formation energy   -0.282 eV/atom
Offset from the most stable computed form   36.6 meV per atom
Space group   F-43m, No. 216
Mass density   6070 kg/m³

---

[4]
A relaxed structure of CsNb2AgO6, computed with GGA-PBE.

abc: 8.2818 8.2818 6.6748
angles: 102.32 102.32 102.49
Closest atoms and distances in Å follow each position.
Element x y z (fractional)
Cs 0.1110 0.8890 0.7500  6 O 3.02-3.14
Cs 0.8890 0.1110 0.2500  6 O 3.02-3.14
Nb 0.2818 0.4250 0.8351  4 O 1.81-2.01
Nb 0.4250 0.2818 0.3351  4 O 1.81-2.01
Nb 0.5750 0.7182 0.6649  4 O 1.81-2.01
Nb 0.7182 0.5750 0.1649  4 O 1.81-2.01
Ag 0.2095 0.7905 0.2500  4 O 2.30-2.40
Ag 0.7905 0.2095 0.7500  4 O 2.30-2.40
O 0.0838 0.2508 0.7373  1 Nb 1.82
O 0.2146 0.6131 0.9357  1 Nb 1.81
O 0.2508 0.0838 0.2373  1 Nb 1.82
O 0.3599 0.4207 0.5690  2 Nb 1.98-2.01
O 0.3869 0.7854 0.5643  1 Nb 1.81
O 0.4207 0.3599 0.0690  2 Nb 1.98-2.01
O 0.5793 0.6401 0.9310  2 Nb 1.98-2.01
O 0.6131 0.2146 0.4357  1 Nb 1.81
O 0.6401 0.5793 0.4310  2 Nb 1.98-2.01
O 0.7492 0.9162 0.7627  1 Nb 1.82
O 0.7854 0.3869 0.0643  1 Nb 1.81
O 0.9162 0.7492 0.2627  1 Nb 1.82

Properties
Space group   C2/c, No. 15
Mass density   4130 kg/m³
E_form (uncorrected)   -2.057 eV/atom

---

[5]
A relaxed structure of FeSb, computed with GGA-PBE.

abc: 9.0769 9.0769 4.2029
angles: 90.00 90.00 90.00
Closest atoms and distances in Å follow each position.
Element x y z (fractional)
Fe 0.0328 0.3765 0.0000  3 Fe 2.32-2.48
Fe 0.1059 0.5810 0.5000  3 Fe 2.42-2.48, 2 Sb 2.56
Fe 0.3765 0.9672 0.0000  3 Fe 2.32-2.48
Fe 0.4190 0.1059 0.5000  3 Fe 2.42-2.48, 2 Sb 2.56
Fe 0.5810 0.8941 0.5000  3 Fe 2.42-2.48, 2 Sb 2.56
Fe 0.6235 0.0328 0.0000  3 Fe 2.32-2.48
Fe 0.8941 0.4190 0.5000  3 Fe 2.42-2.48, 2 Sb 2.56
Fe 0.9672 0.6235 0.0000  3 Fe 2.32-2.48
Sb 0.1365 0.2438 0.5000  4 Fe 2.60-2.85
Sb 0.2438 0.8635 0.5000  4 Fe 2.60-2.85
Sb 0.2649 0.5550 0.0000  4 Fe 2.56-2.77
Sb 0.4450 0.2649 0.0000  4 Fe 2.56-2.77
Sb 0.5550 0.7351 0.0000  4 Fe 2.56-2.77
Sb 0.7351 0.4450 0.0000  4 Fe 2.56-2.77
Sb 0.7562 0.1365 0.5000  4 Fe 2.60-2.85
Sb 0.8635 0.7562 0.5000  4 Fe 2.60-2.85

Properties
Space group   P4/m, No. 83
Mass density   6813 kg/m³
E_form (uncorrected)   0.209 eV/atom

---

[6]
A relaxed structure of Ac2UCd, computed with GGA-PBE.

abc: 12.7371 12.7371 12.7371
angles: 16.12 16.12 16.12
Closest atoms and distances in Å follow each position.
Element x y z (fractional)
Ac 0.0912 0.0912 0.0912  1 U 3.44, 3 Cd 3.52, 6 Ac 3.57
Ac 0.9088 0.9088 0.9088  1 U 3.44, 3 Cd 3.52, 6 Ac 3.57
U 0.0000 0.0000 0.0000  2 Ac 3.44, 6 U 3.57
Cd 0.5000 0.5000 0.5000  6 Ac 3.52, 6 Cd 3.57

Properties
DFT formation energy   0.611 eV/atom
Space group   R-3m, No. 166
Mass density   9623 kg/m³

---

Number 1: N(E_F) 25.4 states/eV per cell. Number 2: N(E_F) 4.1 states/eV per cell. Number 3: N(E_F) 3.5 states/eV per cell. Number 4: N(E_F) 0.0 states/eV per cell. Number 5: N(E_F) 12.2 states/eV per cell. Number 6: N(E_F) 10.1 states/eV per cell.